(1)
DFT (PBE) results for a relaxed Nd2HoPu3Se6 crystal.

Cell and atoms, written as POSCAR:
```
Nd2HoPu3Se6
1.0
-0.610 3.822 1.483
-8.208 -0.813 -1.279
1.479 -5.004 7.714
Nd Ho Pu Se
2 1 3 6
Direct
0.833 0.665 0.666
0.167 0.335 0.334
0.500 0.000 0.000
0.500 0.500 0.000
0.831 0.166 0.663
0.169 0.834 0.337
0.336 0.923 0.672
0.665 0.589 0.329
0.664 0.077 0.328
0.998 0.243 0.995
0.002 0.757 0.005
0.335 0.411 0.671
```

Properties
- DOS at the Fermi energy: 27.3 states/eV per cell
- Final energy: -8.186 eV per atom
- V: 25.43 Å³ per atom
- Magnetic moment: 17.41 μB per formula unit
- Symmetry: C2/m (12)

***

(2)
DFT (PBE) results for a relaxed NdHo2PuSe4 crystal.

Cell and atoms, written as POSCAR:
```
NdHo2PuSe4
1.0
-0.769 3.306 2.288
1.500 -3.753 5.928
6.960 0.617 1.448
Nd Ho Pu Se
1 2 1 4
Direct
0.500 0.500 0.000
0.000 0.000 0.000
0.500 0.000 0.500
0.000 0.500 0.500
0.000 0.763 0.743
0.000 0.237 0.257
0.500 0.760 0.250
0.500 0.240 0.750
```

Properties
- DOS at the Fermi energy: 9.5 states/eV per cell
- Final energy: -7.000 eV per atom
- V: 24.76 Å³ per atom
- Magnetic moment: 5.96 μB per formula unit
- Symmetry: P2/m (10)

***

(3)
DFT (PBE) results for a relaxed Nd2HoPuSe4 crystal.

Cell and atoms, written as POSCAR:
```
Nd2HoPuSe4
1.0
-3.355 0.695 -2.322
2.478 -4.600 -4.958
-4.063 -3.633 4.784
Nd Ho Pu Se
2 1 1 4
Direct
0.500 0.000 0.500
0.000 0.500 0.500
0.000 0.000 0.000
0.500 0.500 0.000
0.500 0.242 0.237
0.500 0.758 0.763
0.000 0.250 0.760
0.000 0.750 0.240
```

Properties
- DOS at the Fermi energy: 9.6 states/eV per cell
- Final energy: -7.048 eV per atom
- V: 25.54 Å³ per atom
- Magnetic moment: 5.82 μB per formula unit
- Symmetry: P2/m (10)

***

(4)
DFT (PBE) results for a relaxed NdHo2Pu3Se6 crystal.

Cell and atoms, written as POSCAR:
```
NdHo2Pu3Se6
1.0
4.120 0.000 0.000
0.000 8.256 0.326
-2.060 -2.347 8.684
Nd Ho Pu Se
1 2 3 6
Direct
0.500 0.000 0.000
0.833 0.664 0.667
0.167 0.336 0.333
0.500 0.500 0.000
0.835 0.165 0.671
0.165 0.835 0.329
0.330 0.909 0.661
0.669 0.581 0.338
0.670 0.091 0.339
0.003 0.257 0.006
0.997 0.743 0.994
0.331 0.419 0.662
```

Properties
- DOS at the Fermi energy: 27.6 states/eV per cell
- Final energy: -8.152 eV per atom
- V: 24.88 Å³ per atom
- Magnetic moment: 5.85 μB per formula unit
- Symmetry: C2/m (12)

***

(5)
DFT (PBE) results for a relaxed Nd2Sm3Ho6Pu crystal.

Cell and atoms, written as POSCAR:
```
Nd2Sm3Ho6Pu
1.0
-0.182 5.573 2.686
-1.624 -5.039 3.206
11.534 -1.494 1.501
Nd Sm Ho Pu
2 3 6 1
Direct
0.333 0.667 0.000
0.667 0.333 0.000
0.167 0.833 0.500
0.833 0.167 0.500
0.500 0.500 0.500
0.917 0.589 0.752
0.754 0.754 0.249
0.083 0.411 0.248
0.589 0.917 0.752
0.246 0.246 0.751
0.411 0.083 0.248
0.000 0.000 0.000
```

Properties
- DOS at the Fermi energy: 23.2 states/eV per cell
- V: 31.90 Å³ per atom
- Energy relative to the elements: 0.04 eV/atom
- Magnetic moment: 6.39 μB per formula unit
- Symmetry: C2/m (12)

***

(6)
DFT (PBE) results for a relaxed NdHoPuSn crystal.

Cell and atoms, written as POSCAR:
```
NdHoPuSn
1.0
5.463 0.000 0.000
2.731 4.731 0.000
2.731 1.577 4.460
Nd Ho Sn Pu
1 1 1 1
Direct
0.500 0.500 0.500
0.750 0.750 0.750
0.250 0.250 0.250
0.000 0.000 0.000
```

Properties
- DOS at the Fermi energy: 11.2 states/eV per cell
- V: 28.82 Å³ per atom
- Energy relative to the elements: -0.12 eV/atom
- Magnetic moment: 7.02 μB per formula unit
- Symmetry: F-43m (216)